Material: Pr2SnRh
Method: DFT, PBE-GGA
State: relaxed

POSCAR file:
```
Pr2SnRh
1.0
1.982 1.144 9.905
-1.982 1.144 9.905
0.000 -2.289 9.905
Pr Sn Rh
2 1 1
direct
0.110 0.110 0.110
0.890 0.890 0.890
0.000 0.000 0.000
0.500 0.500 0.500
```

E_tot, eV per cell: -21.903
E_form, meV per atom: -248
Space group: No. 166